Entry from the Alexandria database: crystalline DyLuGeRu at its relaxed geometry (PBE).

## Properties
Formation energy: -0.51 eV/atom
DOS at the Fermi energy: 2.20 states/eV per cell
Energy: -6.26 eV per atom

Cell: 4.876 4.876 4.876 Å, 60.00 60.00 60.00°
Atoms (fractional coordinates):
Dy1 0.000 0.000 0.000
Lu1 0.500 0.500 0.500
Ge1 0.250 0.250 0.250
Ru1 0.750 0.750 0.750

***

Entry from the Alexandria database: crystalline DyMgGe2 at its relaxed geometry (PBE).

## Properties
E above lowest polymorph: 0.000 eV per atom
Formation energy: -0.48 eV/atom
DOS at the Fermi energy: 2.25 states/eV per cell
Energy: -4.34 eV per atom

Cell: 4.484 4.484 4.078 Å, 90.00 90.00 90.00°
Atoms (fractional coordinates):
Dy1 0.000 0.000 0.000
Mg1 0.500 0.500 0.000
Ge1 0.000 0.500 0.500
Ge2 0.500 0.000 0.500

***

Entry from the Alexandria database: crystalline DyMgGe2 at its relaxed geometry (PBE).

## Properties
E above lowest polymorph: 0.004 eV per atom
Formation energy: -0.47 eV/atom
DOS at the Fermi energy: 6.16 states/eV per cell
Energy: -4.33 eV per atom

Cell: 8.031 3.862 10.968 Å, 90.00 90.00 90.00°
Atoms (fractional coordinates):
Dy1 0.120 0.250 0.148
Dy2 0.380 0.750 0.648
Dy3 0.620 0.250 0.352
Dy4 0.880 0.750 0.852
Mg1 0.014 0.750 0.396
Mg2 0.486 0.250 0.896
Mg3 0.514 0.750 0.104
Mg4 0.986 0.250 0.604
Ge1 0.166 0.250 0.803
Ge2 0.241 0.750 0.954
Ge3 0.259 0.250 0.454
Ge4 0.334 0.750 0.303
Ge5 0.666 0.250 0.697
Ge6 0.741 0.750 0.546
Ge7 0.759 0.250 0.046
Ge8 0.834 0.750 0.197

***

Entry from the Alexandria database: crystalline Dy4Mg5Ge6 at its relaxed geometry (PBE).

## Properties
Formation energy: -0.59 eV/atom
DOS at the Fermi energy: 2.65 states/eV per cell
Energy: -4.19 eV per atom

Cell: 10.069 10.069 15.545 Å, 90.00 90.00 154.86°
Atoms (fractional coordinates):
Dy1 0.010 0.990 0.500
Dy2 0.033 0.967 0.764
Dy3 0.162 0.838 0.298
Dy4 0.174 0.826 0.938
Dy5 0.826 0.174 0.438
Dy6 0.838 0.162 0.798
Dy7 0.967 0.033 0.264
Dy8 0.990 0.010 0.000
Mg1 0.156 0.844 0.619
Mg2 0.303 0.697 0.614
Mg3 0.338 0.662 0.266
Mg4 0.348 0.652 0.974
Mg5 0.442 0.558 0.667
Mg6 0.558 0.442 0.167
Mg7 0.652 0.348 0.474
Mg8 0.662 0.338 0.766
Mg9 0.697 0.303 0.114
Mg10 0.844 0.156 0.119
Ge1 0.114 0.886 0.113
Ge2 0.229 0.771 0.469
Ge3 0.236 0.764 0.765
Ge4 0.429 0.571 0.123
Ge5 0.432 0.568 0.403
Ge6 0.444 0.556 0.846
Ge7 0.556 0.444 0.346
Ge8 0.568 0.432 0.903
Ge9 0.571 0.429 0.623
Ge10 0.764 0.236 0.265
Ge11 0.771 0.229 0.969
Ge12 0.886 0.114 0.613

***

> What is the formula in the first record?

DyLuGeRu